*i*
Computed, not measured: LaP2Cl after structural relaxation at the GGA-PBE level of DFT.

size of the total moment	0.0	μB per formula unit

```
data_LaP2Cl
_cell_length_a 3.446
_cell_length_b 3.446
_cell_length_c 8.020
_cell_angle_alpha 90.00
_cell_angle_beta 90.00
_cell_angle_gamma 90.00
_space_group_name_H-M_alt 'P 1'
_space_group_IT_number 1
loop_
_space_group_symop_operation_xyz
'x,y,z'
loop_
_atom_site_label
_atom_site_type_symbol
_atom_site_fract_x
_atom_site_fract_y
_atom_site_fract_z
La1 La 0.000 0.000 0.000
P1 P 0.000 0.000 0.350
P2 P 0.500 0.500 0.263
Cl1 Cl 0.500 0.500 0.793
```

***

*ii*
Computed, not measured: LaP2Cl after structural relaxation at the GGA-PBE level of DFT.

size of the total moment	0.0	μB per formula unit

```
data_LaP2Cl
_cell_length_a 7.807
_cell_length_b 7.807
_cell_length_c 7.807
_cell_angle_alpha 30.78
_cell_angle_beta 30.78
_cell_angle_gamma 30.78
_space_group_name_H-M_alt 'P 1'
_space_group_IT_number 1
loop_
_space_group_symop_operation_xyz
'x,y,z'
loop_
_atom_site_label
_atom_site_type_symbol
_atom_site_fract_x
_atom_site_fract_y
_atom_site_fract_z
La1 La 0.000 0.000 0.000
P1 P 0.432 0.432 0.432
P2 P 0.749 0.749 0.749
Cl1 Cl 0.257 0.257 0.257
```

***

Question: which arrangement is favored energetically? Ranking from most to least stable: *ii*, *i*.

***

*i*
Computed, not measured: LaPCl after structural relaxation at the GGA-PBE level of DFT.

size of the total moment	0.9	μB per formula unit

```
data_LaPCl
_cell_length_a 5.685
_cell_length_b 5.685
_cell_length_c 5.685
_cell_angle_alpha 139.21
_cell_angle_beta 139.21
_cell_angle_gamma 59.05
_space_group_name_H-M_alt 'P 1'
_space_group_IT_number 1
loop_
_space_group_symop_operation_xyz
'x,y,z'
loop_
_atom_site_label
_atom_site_type_symbol
_atom_site_fract_x
_atom_site_fract_y
_atom_site_fract_z
La1 La 0.000 0.000 0.000
P1 P 0.400 0.400 0.000
Cl1 Cl 0.684 0.684 0.000
```

***

*ii*
Computed, not measured: LaPCl after structural relaxation at the GGA-PBE level of DFT.

size of the total moment	1.0	μB per formula unit

```
data_LaPCl
_cell_length_a 4.471
_cell_length_b 4.471
_cell_length_c 6.457
_cell_angle_alpha 90.00
_cell_angle_beta 90.00
_cell_angle_gamma 120.00
_space_group_name_H-M_alt 'P 1'
_space_group_IT_number 1
loop_
_space_group_symop_operation_xyz
'x,y,z'
loop_
_atom_site_label
_atom_site_type_symbol
_atom_site_fract_x
_atom_site_fract_y
_atom_site_fract_z
La1 La 0.000 0.000 0.000
P1 P 0.667 0.333 0.193
Cl1 Cl 0.333 0.667 0.760
```

***

Question: which arrangement is favored energetically? Ranking from most to least stable: *i*, *ii*.

***

*i*
Computed, not measured: LaPCl after structural relaxation at the GGA-PBE level of DFT.

size of the total moment	0.0	μB per formula unit

```
data_LaPCl
_cell_length_a 4.123
_cell_length_b 4.123
_cell_length_c 8.549
_cell_angle_alpha 90.00
_cell_angle_beta 90.00
_cell_angle_gamma 90.00
_space_group_name_H-M_alt 'P 1'
_space_group_IT_number 1
loop_
_space_group_symop_operation_xyz
'x,y,z'
loop_
_atom_site_label
_atom_site_type_symbol
_atom_site_fract_x
_atom_site_fract_y
_atom_site_fract_z
La1 La 0.250 0.250 0.239
La2 La 0.750 0.750 0.761
P1 P 0.250 0.750 0.000
P2 P 0.750 0.250 0.000
Cl1 Cl 0.250 0.250 0.624
Cl2 Cl 0.750 0.750 0.376
```

***

*ii*
Computed, not measured: LaPCl after structural relaxation at the GGA-PBE level of DFT.

size of the total moment	0.6	μB per formula unit

```
data_LaPCl
_cell_length_a 4.745
_cell_length_b 4.745
_cell_length_c 4.745
_cell_angle_alpha 60.00
_cell_angle_beta 60.00
_cell_angle_gamma 60.00
_space_group_name_H-M_alt 'P 1'
_space_group_IT_number 1
loop_
_space_group_symop_operation_xyz
'x,y,z'
loop_
_atom_site_label
_atom_site_type_symbol
_atom_site_fract_x
_atom_site_fract_y
_atom_site_fract_z
La1 La 0.000 0.000 0.000
P1 P 0.500 0.500 0.500
Cl1 Cl 0.750 0.750 0.750
```

***

*iii*
Computed, not measured: LaPCl after structural relaxation at the GGA-PBE level of DFT.

size of the total moment	0.0	μB per formula unit

```
data_LaPCl
_cell_length_a 4.813
_cell_length_b 4.813
_cell_length_c 3.699
_cell_angle_alpha 90.00
_cell_angle_beta 90.00
_cell_angle_gamma 120.00
_space_group_name_H-M_alt 'P 1'
_space_group_IT_number 1
loop_
_space_group_symop_operation_xyz
'x,y,z'
loop_
_atom_site_label
_atom_site_type_symbol
_atom_site_fract_x
_atom_site_fract_y
_atom_site_fract_z
La1 La 0.000 0.000 0.000
P1 P 0.333 0.667 0.500
Cl1 Cl 0.667 0.333 0.000
```

***

*iv*
Computed, not measured: LaPCl after structural relaxation at the GGA-PBE level of DFT.

size of the total moment	0.1	μB per formula unit

```
data_LaPCl
_cell_length_a 7.442
_cell_length_b 7.440
_cell_length_c 3.521
_cell_angle_alpha 76.35
_cell_angle_beta 76.28
_cell_angle_gamma 27.37
_space_group_name_H-M_alt 'P 1'
_space_group_IT_number 1
loop_
_space_group_symop_operation_xyz
'x,y,z'
loop_
_atom_site_label
_atom_site_type_symbol
_atom_site_fract_x
_atom_site_fract_y
_atom_site_fract_z
La1 La 0.000 0.000 0.000
P1 P 0.377 0.377 0.623
Cl1 Cl 0.627 0.627 0.373
```

***

Question: which arrangement is favored energetically? Ranking from most to least stable: *i*, *iii*, *iv*, *ii*.